Entry from OQMD via LeMat-Bulk: a geometry-optimized SrZrU structure (GGA-PBE).

Computed properties:
* V: 103 Å³/f.u.
* total DFT energy (no corrections): -5.47 eV per atom
* space-group type: F-43m
* total magnetization: 5.7 μB per formula unit

Cell: 5.2581 5.2581 5.2581 Å, 60.00 60.00 60.00°
Last column: nearest neighbours and their distance in Å.
Positions (direct):
1 Sr 0.2500 0.2500 0.2500  4 U 3.22
2 U 0.0000 0.0000 0.0000  4 Sr 3.22, 4 Zr 3.22
3 Zr 0.7500 0.7500 0.7500  4 U 3.22

---

Entry from OQMD via LeMat-Bulk: a geometry-optimized HoGeNO structure (GGA-PBE).

Computed properties:
* V: 53 Å³/f.u.
* total DFT energy (no corrections): -7.11 eV per atom
* space-group type: Pmc2_1
* total magnetization: 0.0 μB per formula unit

Cell: 3.2617 6.0546 5.3969 Å, 90.00 90.00 90.00°
Last column: nearest neighbours and their distance in Å.
Positions (direct):
1 Ge 0.5000 0.0415 0.1046  2 N 1.93, 1 O 2.00
2 Ge 0.5000 0.5415 0.8954  2 N 1.93, 1 O 2.00
3 Ho 0.0000 0.5483 0.3700  2 N 2.32-2.35, 4 O 2.41-2.44
4 Ho 0.0000 0.0483 0.6300  2 N 2.32-2.35, 4 O 2.41-2.44
5 N 0.0000 0.9079 0.2244  2 Ge 1.93
6 N 0.0000 0.4079 0.7756  2 Ge 1.93
7 O 0.5000 0.2563 0.3870  1 Ge 2.00
8 O 0.5000 0.7563 0.6130  1 Ge 2.00

---

Across the entries above, polymorph energy (0 for the lowest one) takes the values 0.000 0.201 eV/atom, respectively.